Run P
{
  "formula": "Cu2H5Rh2",
  "functional": "PBE-GGA",
  "state": "optimized geometry",
  "density_g_cm3": 8.12,
  "spacegroup": "Ima2",
  "cell": [[-6.007, 2.412, 2.384], [6.007, -2.412, 2.384], [6.007, 2.412, -2.384]],
  "species": ["Cu", "Cu", "Cu", "Cu", "H", "H", "H", "H", "H", "H", "H", "H", "H", "H", "Rh", "Rh", "Rh", "Rh"],
  "frac_coords": [[0.031, 0.134, 0.165], [0.031, 0.366, 0.397], [0.969, 0.634, 0.603], [0.969, 0.866, 0.835], [0.017, 0.210, 0.716], [0.017, 0.801, 0.307], [0.450, 0.750, 0.953], [0.450, 0.997, 0.199], [0.461, 0.473, 0.488], [0.494, 0.301, 0.284], [0.494, 0.710, 0.693], [0.797, 0.250, 0.801], [0.797, 0.497, 0.047], [0.985, 0.973, 0.512], [0.459, 0.745, 0.215], [0.518, 0.018, 0.500], [0.518, 0.518, 0.000], [0.530, 0.245, 0.785]]
}


Run Q
{
  "formula": "Cu2H5Rh2",
  "functional": "PBE-GGA",
  "state": "optimized geometry",
  "density_g_cm3": 6.98,
  "spacegroup": "P-1",
  "cell": [[2.771, 0.000, 0.000], [0.000, 4.467, 0.000], [1.370, 0.095, 6.498]],
  "species": ["Cu", "Cu", "H", "H", "H", "H", "H", "Rh", "Rh"],
  "frac_coords": [[0.112, 0.232, 0.275], [0.888, 0.768, 0.725], [0.000, 0.500, 0.500], [0.152, 0.861, 0.193], [0.337, 0.542, 0.829], [0.663, 0.458, 0.171], [0.848, 0.139, 0.807], [0.424, 0.265, 0.654], [0.576, 0.735, 0.346]]
}


Energies relative to the minimum, meV/atom: run P 0; run Q 13